# 1
First-principles (PBE) data for a relaxed AcPrCd crystal, as listed in OQMD via LeMat-Bulk.

Geometry as extended XYZ:
```
3
Lattice="0.000 3.816 3.816 3.816 0.000 3.816 3.816 3.816 0.000" Properties=species:S:1:pos:R:3 pbc="T T T"
Pr 5.724 5.724 5.724
Ac 0.000 0.000 0.000
Cd 1.908 1.908 1.908
```

Output
DFT formation energy ... 0.438 eV/atom
Symmetry ... F-43m (216)


# 2
First-principles (PBE) data for a relaxed InCoHgW crystal, as listed in OQMD via LeMat-Bulk.

Geometry as extended XYZ:
```
4
Lattice="-2.570 -0.207 3.805 -1.121 3.860 2.229 -4.338 1.517 -0.071" Properties=species:S:1:pos:R:3 pbc="T T T"
Hg -2.007 1.293 1.490
W -4.015 2.585 2.981
In 0.000 0.000 0.000
Co -6.022 3.878 4.471
```

Output
Energy relative to the lowest polymorph listed for this composition ... 0.004 eV per atom
Symmetry ... F-43m (216)